Record 1
A relaxed structure of LaPrPt, computed with PBE.

Output
Formation energy from the elements: -0.215 eV/atom
Crystal system: cubic
Energy above the most stable polymorph in this dataset: 0.00 kJ per mole of atoms

Cell lengths 6.9259, 6.9259, 6.9259 Å; angles 90.00, 90.00, 90.00 degrees
With the nearest neighbours (Å) after each atom.
Space group F-43m (No. 216)
Symmetry-distinct sites (fractional):
La 0.0000 0.0000 0.0000 [4 per cell]  4 Pr 3.00
Pr 0.2500 0.2500 0.2500 [4 per cell]  4 La 3.00, 4 Pt 3.00
Pt 0.0000 0.0000 0.5000 [4 per cell]  4 Pr 3.00



Record 2
A relaxed structure of TbNd2Cd3AgAu2, computed with PBE.

Output
Formation energy from the elements: -0.574 eV/atom
Crystal system: orthorhombic

Cell lengths 3.9352, 13.7792, 7.9715 Å; angles 90.00, 90.00, 90.00 degrees
With the nearest neighbours (Å) after each atom.
Space group Amm2 (No. 38)
Symmetry-distinct sites (fractional):
Tb 0.0000 0.0000 0.0000 [2 per cell]  4 Au 3.07, 1 Ag 3.24, 2 Cd 3.29
Nd 0.0000 0.2039 0.6126 [4 per cell]  4 Au 3.13, 1 Ag 3.25, 6 Cd 3.31-3.48
Cd 0.5000 0.0000 0.6692 [2 per cell]  2 Ag 2.87, 2 Au 2.96
Cd 0.5000 0.1286 0.2774 [4 per cell]  2 Ag 2.84, 2 Au 2.96-3.06
Ag 0.0000 0.0000 0.4068 [2 per cell]  6 Cd 2.84-2.87
Au 0.5000 0.1634 0.9105 [4 per cell]  3 Cd 2.96-3.06, 2 Tb 3.07, 4 Nd 3.13



Record 3
A relaxed structure of KIn2Au3, computed with PBE.

Output
Crystal system: orthorhombic
E: -3.02 eV per atom

Cell lengths 11.6786, 8.5797, 6.4211 Å; angles 90.00, 90.00, 90.00 degrees
With the nearest neighbours (Å) after each atom.
Space group Cmcm (No. 63)
Symmetry-distinct sites (fractional):
K 0.0000 0.1625 0.2500 [4 per cell]  11 Au 3.68-3.92, 4 In 4.02
In 0.1947 0.5000 0.0000 [8 per cell]  6 Au 2.77-2.96
Au 0.0000 0.4087 0.7500 [4 per cell]  2 Au 2.79, 4 In 2.89
Au 0.1898 0.2104 0.7500 [8 per cell]  4 In 2.77-2.96, 1 Au 2.79



Record 4
A relaxed structure of Pr2SeO2, computed with PBE.

Output
Crystal system: trigonal
E: -7.57 eV per atom

Cell lengths 4.0292, 4.0292, 7.0474 Å; angles 90.00, 90.00, 120.00 degrees
With the nearest neighbours (Å) after each atom.
Space group P-3m1 (No. 164)
Symmetry-distinct sites (fractional):
Pr 0.3333 0.6667 0.2869 [2 per cell]  4 O 2.39-2.40
Se 0.0000 0.0000 0.0000 [1 per cell]  6 Pr 3.08
O 0.3333 0.6667 0.6267 [2 per cell]  4 Pr 2.39-2.40



Record 5
A relaxed structure of NbTeIr, computed with PBE.

Output
Crystal system: cubic
Energy above the most stable polymorph in this dataset: 0.00 kJ per mole of atoms

Cell lengths 6.3256, 6.3256, 6.3256 Å; angles 90.00, 90.00, 90.00 degrees
With the nearest neighbours (Å) after each atom.
Space group F-43m (No. 216)
Symmetry-distinct sites (fractional):
Nb 0.0000 0.0000 0.0000 [4 per cell]  4 Ir 2.74
Te 0.0000 0.0000 0.5000 [4 per cell]  4 Ir 2.74
Ir 0.2500 0.2500 0.2500 [4 per cell]  4 Nb 2.74, 4 Te 2.74



Record 6
A relaxed structure of LiZnCoMo, computed with PBE.

Output
Crystal system: cubic
Energy above the most stable polymorph in this dataset: 0.00 kJ per mole of atoms

Cell lengths 5.8082, 5.8082, 5.8082 Å; angles 90.00, 90.00, 90.00 degrees
With the nearest neighbours (Å) after each atom.
Space group F-43m (No. 216)
Symmetry-distinct sites (fractional):
Li 0.0000 0.0000 0.0000 [4 per cell]  4 Mo 2.52, 4 Zn 2.52
Zn 0.2500 0.2500 0.2500 [4 per cell]  4 Li 2.52, 4 Co 2.52
Co 0.0000 0.0000 0.5000 [4 per cell]  4 Mo 2.52, 4 Zn 2.52
Mo 0.2500 0.2500 0.7500 [4 per cell]  4 Li 2.52, 4 Co 2.52